1.
VASP calculation (PBE) on a relaxed Ti6SnGe crystal.

Structure (POSCAR):
```
Ti6SnGe
1.0
-0.511 -1.886 -4.245
0.333 -5.261 2.298
-5.199 2.417 -0.448
Ge Ti Sn
1 6 1
Direct
0.000 0.083 0.917 Ge
0.000 0.089 0.411 Ti
0.500 0.907 0.093 Ti
0.500 0.920 0.602 Ti
0.500 0.398 0.080 Ti
0.000 0.597 0.403 Ti
0.000 0.589 0.911 Ti
0.500 0.416 0.584 Sn
```

Results
- ΔE_f (meV/atom) = -338
- total magnetization (μB per cell) = 0.0

2.
VASP calculation (PBE) on a relaxed BaSiNi2 crystal.

Structure (POSCAR):
```
BaSiNi2
1.0
-1.435 -2.780 -1.886
0.266 -1.904 2.604
-5.955 1.024 3.021
Ni Ba Si
2 1 1
Direct
0.000 0.040 0.105 Ni
0.000 0.460 0.395 Ni
0.500 0.750 0.750 Ba
0.500 0.250 0.250 Si
```

Results
- total magnetization (μB per cell) = 0.0
- formation energy without anion corrections (eV per atom) = 0.011

3.
VASP calculation (PBE) on a relaxed GeAs2Rh2 crystal.

Structure (POSCAR):
```
GeAs2Rh2
1.0
-1.225 -0.937 3.631
3.709 0.260 1.318
0.430 5.281 3.651
Ge Rh As
1 2 2
Direct
0.000 0.000 0.000 Ge
0.383 0.383 0.235 Rh
0.617 0.617 0.765 Rh
0.250 0.750 0.500 As
0.750 0.250 0.500 As
```

Results
- ΔE_f (meV/atom) = 36
- total magnetization (μB per cell) = 0.0